A relaxed structure of ZrFeRe2. Source: Alexandria, functional PBE-GGA.

Geometry as POSCAR:
```
ZrFeRe2
1.0
0.000 3.153 3.153
3.153 0.000 3.153
3.153 3.153 0.000
Zr Fe Re
1 1 2
direct
0.000 0.000 0.000
0.750 0.750 0.750
0.250 0.250 0.250
0.500 0.500 0.500
```

E_tot in eV per atom: -10.50
Energy relative to the lowest polymorph listed for this composition in meV/atom: 0.0
Magnetization in μB/f.u.: 2.14
Formation enthalpy at 0 K in eV/atom: -0.019